A geometry-optimized HgPdAuO4 structure, computed with PBE.

Cell lengths 6.236, 6.280, 10.485 Å; angles 90.00, 90.00, 90.00 degrees
Space group Imma (No. 74)
Asymmetric unit:
1 Hg 0.000 0.250 0.105 [4 per cell]
2 Pd 0.250 0.250 0.750 [4 per cell]
3 Au 0.000 0.000 0.500 [4 per cell]
4 O 0.000 0.038 0.764 [8 per cell]
5 O 0.211 0.250 0.552 [8 per cell]

The raw formation energy comes out at -0.16 eV per atom. For the total energy, the calculation gives -4.244 eV per atom. The calculation puts the spin magnetization at 0.00 μB per atom.

---

A geometry-optimized CePu2Fe structure, computed with PBE.

Cell lengths 6.996, 6.996, 6.996 Å; angles 90.00, 90.00, 90.00 degrees
Space group Fm-3m (No. 225)
Asymmetric unit:
1 Ce 0.000 0.000 0.000 [4 per cell]
2 Pu 0.250 0.250 0.250 [8 per cell]
3 Fe 0.000 0.000 0.500 [4 per cell]

The value obtained for the formation energy from the elements is 133 meV/atom. For the total energy, the calculation gives -10.632 eV per atom. The calculation puts the spin magnetization at 2.59 μB per atom.

---

A geometry-optimized CaPr5Nd5 structure, computed with PBE.

Cell lengths 6.3626, 6.3626, 11.7620 Å; angles 90.00, 90.00, 120.00 degrees
Space group P-6m2 (No. 187)
Asymmetric unit:
1 Ca 0.0000 0.0000 0.0000 [1 per cell]
2 Pr 0.0000 0.0000 0.3173 [2 per cell]
3 Pr 0.3333 0.6667 0.1695 [2 per cell]
4 Pr 0.6667 0.3333 0.0000 [1 per cell]
5 Nd 0.0059 0.5030 0.5000 [3 per cell]
6 Nd 0.6667 0.3333 0.2657 [2 per cell]

The value obtained for the formation energy from the elements is 266 meV/atom. For the total energy, the calculation gives -4.255 eV per atom. The calculation puts the spin magnetization at 0.08 μB per atom.

---

A geometry-optimized SrRe2As structure, computed with PBE.

Cell lengths 2.738, 5.309, 5.257 Å; angles 90.00, 90.04, 90.00 degrees
Space group P2/m (No. 10)
Asymmetric unit:
1 Sr 0.000 0.000 0.000 [1 per cell]
2 Re 0.393 0.500 0.272 [2 per cell]
3 As 0.500 0.000 0.500 [1 per cell]

The value obtained for the formation energy from the elements is 708 meV/atom. For the total energy, the calculation gives -7.099 eV per atom. The calculation puts the spin magnetization at 0.00 μB per atom.

---

A geometry-optimized Pr2HgAs4Pd3 structure, computed with PBE.

Cell lengths 4.518, 4.518, 10.269 Å; angles 90.00, 90.00, 90.00 degrees
Space group P-4m2 (No. 115)
Asymmetric unit:
1 Pr 0.000 0.500 0.235 [2 per cell]
2 Hg 0.000 0.000 0.500 [1 per cell]
3 As 0.000 0.000 0.000 [1 per cell]
4 As 0.000 0.500 0.646 [2 per cell]
5 As 0.500 0.500 0.000 [1 per cell]
6 Pd 0.000 0.500 0.885 [2 per cell]
7 Pd 0.500 0.500 0.500 [1 per cell]

The value obtained for the formation energy from the elements is -704 meV/atom. For the total energy, the calculation gives -5.107 eV per atom. The calculation puts the spin magnetization at 0.00 μB per atom.

---

A geometry-optimized ZnPbNO2 structure, computed with PBE.

Cell lengths 4.310, 4.310, 4.449 Å; angles 90.00, 90.00, 90.00 degrees
Space group P4/mmm (No. 123)
Asymmetric unit:
1 Zn 0.000 0.000 0.000 [1 per cell]
2 Pb 0.500 0.500 0.500 [1 per cell]
3 N 0.500 0.500 0.000 [1 per cell]
4 O 0.000 0.500 0.500 [2 per cell]

The raw formation energy comes out at 0.68 eV per atom. For the total energy, the calculation gives -3.970 eV per atom. The calculation puts the spin magnetization at 0.26 μB per atom.

---

A geometry-optimized TiBe9Pd2 structure, computed with PBE.

Cell lengths 4.3853, 4.3853, 20.9623 Å; angles 90.00, 90.00, 120.00 degrees
Space group R-3m (No. 166, hexagonal axes)
Asymmetric unit:
1 Ti 0.0000 0.0000 0.0000 [3 per cell]
2 Be 0.0000 0.0000 0.3325 [6 per cell]
3 Be 0.0000 0.0000 0.5000 [3 per cell]
4 Be 0.0012 0.5006 0.9167 [18 per cell]
5 Pd 0.0000 0.0000 0.1373 [6 per cell]

The value obtained for the formation energy from the elements is -331 meV/atom. For the total energy, the calculation gives -4.649 eV per atom. The calculation puts the spin magnetization at 0.03 μB per atom.

---

A geometry-optimized PmYSn2 structure, computed with PBE.

Cell lengths 3.503, 3.503, 8.927 Å; angles 90.00, 90.00, 90.00 degrees
Space group P4/mmm (No. 123)
Asymmetric unit:
1 Pm 0.000 0.000 0.000 [1 per cell]
2 Y 0.000 0.000 0.500 [1 per cell]
3 Sn 0.500 0.500 0.256 [2 per cell]

The value obtained for the formation energy from the elements is -662 meV/atom. For the total energy, the calculation gives -5.467 eV per atom. The calculation puts the spin magnetization at 0.00 μB per atom.